(1)
Computed, not measured: an optimized crystal structure of Nd8Os3SeBr4 at the PBE-GGA level of DFT.

Output
- E_form (uncorrected): -0.886 eV/atom

a = 8.4392 Å, b = 8.4392 Å, c = 23.0777 Å
α = 90.00°, β = 90.00°, γ = 120.00°
Space group R-3m (No. 166, hexagonal axes)
Symmetry-distinct sites (fractional):
1 Nd 0.0000 0.0000 0.2333 [6 per cell]
2 Nd 0.0205 0.5102 0.7679 [18 per cell]
3 Os 0.0000 0.5000 0.5000 [9 per cell]
4 Se 0.0000 0.0000 0.5000 [3 per cell]
5 Br 0.0000 0.0000 0.0000 [3 per cell]
6 Br 0.0000 0.5000 0.0000 [9 per cell]

(2)
Computed, not measured: an optimized crystal structure of HoSnH6Ir2 at the PBE-GGA level of DFT.

Output
- Total DFT energy (no corrections): -4.897 eV/atom

a = 7.7744 Å, b = 13.1867 Å, c = 5.4447 Å
α = 90.00°, β = 115.85°, γ = 90.00°
Space group C2/c (No. 15)
Symmetry-distinct sites (fractional):
1 Ho 0.0000 0.0854 0.2500 [4 per cell]
2 Sn 0.0000 0.2988 0.7500 [4 per cell]
3 H 0.1022 0.4341 0.1037 [8 per cell]
4 H 0.2185 0.0393 0.1007 [8 per cell]
5 H 0.2350 0.1772 0.5989 [8 per cell]
6 Ir 0.2002 0.1212 0.8522 [8 per cell]

(3)
Computed, not measured: an optimized crystal structure of MnTl3Te3 at the PBE-GGA level of DFT.

Output
- E_form (uncorrected): -0.201 eV/atom
- Excess energy over the best structure of this formula in the dataset: 18 meV per atom

a = 8.2600 Å, b = 12.4553 Å, c = 9.4464 Å
α = 90.00°, β = 103.16°, γ = 90.00°
Space group C2/m (No. 12)
Symmetry-distinct sites (fractional):
1 Mn 0.1360 0.0000 0.1600 [4 per cell]
2 Tl 0.0000 0.1479 0.5000 [4 per cell]
3 Tl 0.0000 0.2859 0.0000 [4 per cell]
4 Tl 0.1060 0.5000 0.3682 [4 per cell]
5 Te 0.1920 0.0000 0.8925 [4 per cell]
6 Te 0.2043 0.3309 0.7153 [8 per cell]

(4)
Computed, not measured: an optimized crystal structure of Ag3Pd2Au5 at the PBE-GGA level of DFT.

Output
- Total DFT energy (no corrections): -3.339 eV/atom

a = 10.8309 Å, b = 13.5596 Å, c = 5.4035 Å
α = 90.00°, β = 90.00°, γ = 90.00°
Space group Ibam (No. 72)
Symmetry-distinct sites (fractional):
1 Ag 0.0000 0.0000 0.2500 [4 per cell]
2 Ag 0.1169 0.2381 0.0000 [8 per cell]
3 Pd 0.1309 0.1497 0.5000 [8 per cell]
4 Au 0.0000 0.5000 0.2500 [4 per cell]
5 Au 0.1284 0.3430 0.5000 [8 per cell]
6 Au 0.2496 0.0000 0.2500 [8 per cell]

(5)
Computed, not measured: an optimized crystal structure of Cs2TlSnHg6 at the PBE-GGA level of DFT.

Output
- Total DFT energy (no corrections): -1.080 eV/atom

a = 11.7830 Å, b = 12.0052 Å, c = 8.3635 Å
α = 90.00°, β = 134.04°, γ = 90.00°
Space group C2/m (No. 12)
Symmetry-distinct sites (fractional):
1 Cs 0.0000 0.2500 0.0000 [4 per cell]
2 Tl 0.0000 0.0000 0.5000 [2 per cell]
3 Sn 0.0000 0.5000 0.5000 [2 per cell]
4 Hg 0.0000 0.2515 0.5000 [4 per cell]
5 Hg 0.2483 0.5000 0.9969 [4 per cell]
6 Hg 0.2487 0.5000 0.5001 [4 per cell]

(6)
Computed, not measured: an optimized crystal structure of SrCrH3 at the PBE-GGA level of DFT.

Output
- Excess energy over the best structure of this formula in the dataset: 0 meV per atom

a = 3.8626 Å, b = 3.8626 Å, c = 3.8626 Å
α = 90.00°, β = 90.00°, γ = 90.00°
Space group Pm-3m (No. 221)
Symmetry-distinct sites (fractional):
1 Sr 0.0000 0.0000 0.0000 [1 per cell]
2 Cr 0.5000 0.5000 0.5000 [1 per cell]
3 H 0.0000 0.5000 0.5000 [3 per cell]

(7)
Computed, not measured: an optimized crystal structure of PrHoZnPb at the PBE-GGA level of DFT.

Output
- Total DFT energy (no corrections): -3.959 eV/atom

a = 7.5465 Å, b = 7.5465 Å, c = 7.5465 Å
α = 90.00°, β = 90.00°, γ = 90.00°
Space group F-43m (No. 216)
Symmetry-distinct sites (fractional):
1 Pr 0.0000 0.0000 0.0000 [4 per cell]
2 Ho 0.0000 0.0000 0.5000 [4 per cell]
3 Zn 0.2500 0.2500 0.7500 [4 per cell]
4 Pb 0.2500 0.2500 0.2500 [4 per cell]

(8)
Computed, not measured: an optimized crystal structure of Tm3Cd2Sn at the PBE-GGA level of DFT.

Output
- Excess energy over the best structure of this formula in the dataset: 0 meV per atom

a = 5.2251 Å, b = 5.2251 Å, c = 6.4218 Å
α = 90.00°, β = 90.00°, γ = 120.00°
Space group P-3m1 (No. 164)
Symmetry-distinct sites (fractional):
1 Tm 0.0000 0.0000 0.0000 [1 per cell]
2 Tm 0.3333 0.6667 0.6578 [2 per cell]
3 Cd 0.3333 0.6667 0.1403 [2 per cell]
4 Sn 0.0000 0.0000 0.5000 [1 per cell]